Entry 1:
# AgAs2Br, optimized geometry, DFT GGA-PBE
# energy above the lowest structure with this stoichiometry	423	meV per atom
# energy relative to the elements, uncorrected	293	meV/atom
data_AgAs2Br
_cell_length_a 2.838
_cell_length_b 2.838
_cell_length_c 12.078
_cell_angle_alpha 90.00
_cell_angle_beta 90.00
_cell_angle_gamma 90.00
_space_group_name_H-M_alt 'P 4/m m m'
_space_group_IT_number 123
_space_group_name_Hall '-P 4 2'
loop_
_atom_site_label
_atom_site_type_symbol
_atom_site_fract_x
_atom_site_fract_y
_atom_site_fract_z
_atom_site_occupancy
Ag1 Ag 0.000 0.000 0.000 1
As1 As 0.500 0.500 0.181 1
Br1 Br 0.000 0.000 0.500 1

Entry 2:
# LaMn2Ag, optimized geometry, DFT GGA-PBE
# final energy	-6.364	eV per atom
data_LaMn2Ag
_cell_length_a 7.669
_cell_length_b 4.429
_cell_length_c 5.744
_cell_angle_alpha 90.00
_cell_angle_beta 116.50
_cell_angle_gamma 90.00
_space_group_name_H-M_alt 'C 1 m 1'
_space_group_IT_number 8
loop_
_space_group_symop_operation_xyz
'x,y,z'
'x,-y,z'
'x+1/2,y+1/2,z'
'x+1/2,-y+1/2,z'
loop_
_atom_site_label
_atom_site_type_symbol
_atom_site_fract_x
_atom_site_fract_y
_atom_site_fract_z
_atom_site_occupancy
La1 La 0.000 0.000 0.000 1
Mn1 Mn 0.019 0.500 0.556 1
Mn2 Mn 0.199 0.000 0.597 1
Ag1 Ag 0.293 0.500 0.380 1

Entry 3:
# SiB2PC, optimized geometry, DFT GGA-PBE
# energy above the lowest structure with this stoichiometry	130	meV per atom
# energy relative to the elements, uncorrected	242	meV/atom
data_SiB2PC
_cell_length_a 5.747
_cell_length_b 3.059
_cell_length_c 6.424
_cell_angle_alpha 90.00
_cell_angle_beta 109.68
_cell_angle_gamma 90.00
_space_group_name_H-M_alt 'C 1 m 1'
_space_group_IT_number 8
loop_
_space_group_symop_operation_xyz
'x,y,z'
'x,-y,z'
'x+1/2,y+1/2,z'
'x+1/2,-y+1/2,z'
loop_
_atom_site_label
_atom_site_type_symbol
_atom_site_fract_x
_atom_site_fract_y
_atom_site_fract_z
_atom_site_occupancy
Si1 Si 0.000 0.000 0.000 1
B1 B 0.350 0.500 0.665 1
B2 B 0.378 0.500 0.346 1
P1 P 0.001 0.500 0.534 1
C1 C 0.206 0.500 0.102 1

Entry 4:
# LaOsW2, optimized geometry, DFT GGA-PBE
# energy above the lowest structure with this stoichiometry	522	meV per atom
data_LaOsW2
_cell_length_a 7.856
_cell_length_b 7.856
_cell_length_c 5.632
_cell_angle_alpha 90.00
_cell_angle_beta 90.00
_cell_angle_gamma 90.00
_space_group_name_H-M_alt 'I -4 2 d'
_space_group_IT_number 122
_space_group_name_Hall 'I -4 2bw'
loop_
_atom_site_label
_atom_site_type_symbol
_atom_site_fract_x
_atom_site_fract_y
_atom_site_fract_z
_atom_site_occupancy
La1 La 0.000 0.000 0.000 1
Os1 Os 0.000 0.000 0.500 1
W1 W 0.185 0.250 0.625 1

Entry 5:
# Ho5Sc4Pt4, optimized geometry, DFT GGA-PBE
# final energy	-6.451	eV per atom
data_Ho5Sc4Pt4
_cell_length_a 11.427
_cell_length_b 11.427
_cell_length_c 4.581
_cell_angle_alpha 90.00
_cell_angle_beta 90.00
_cell_angle_gamma 90.00
_space_group_name_H-M_alt 'I 4/m'
_space_group_IT_number 87
_space_group_name_Hall '-I 4'
loop_
_atom_site_label
_atom_site_type_symbol
_atom_site_fract_x
_atom_site_fract_y
_atom_site_fract_z
_atom_site_occupancy
Ho1 Ho 0.000 0.000 0.000 1
Ho2 Ho 0.127 0.190 0.500 1
Sc1 Sc 0.095 0.604 0.500 1
Pt1 Pt 0.082 0.746 0.000 1

Number 1: total magnetization 0.000 μB per formula unit. Number 2: total magnetization 0.400 μB per formula unit. Number 3: total magnetization 0.000 μB per formula unit. Number 4: total magnetization 0.000 μB per formula unit. Number 5: total magnetization 0.001 μB per formula unit.